# 1
The following is a DFT calculation (PBE) of a geometry-optimized Zr3SO9 structure.

abc: 6.4378 6.4378 10.1236
angles: 90.00 90.00 120.00
Fractional coordinates of all 26 atoms:
Zr 0.0328 0.6994 0.1418
Zr 0.3006 0.3334 0.1418
Zr 0.3334 0.0328 0.8582
Zr 0.6666 0.9672 0.1418
Zr 0.6994 0.6666 0.8582
Zr 0.9672 0.3006 0.8582
S 0.3333 0.6667 0.6646
S 0.6667 0.3333 0.3354
O 0.0000 0.0000 0.2076
O 0.0000 0.0000 0.7924
O 0.0022 0.6683 0.9319
O 0.1104 0.4418 0.6331
O 0.3314 0.8896 0.6331
O 0.3317 0.3339 0.9319
O 0.3333 0.6667 0.2076
O 0.3333 0.6667 0.8183
O 0.3339 0.0022 0.0681
O 0.4418 0.3314 0.3669
O 0.5582 0.6686 0.6331
O 0.6661 0.9978 0.9319
O 0.6667 0.3333 0.1817
O 0.6667 0.3333 0.7924
O 0.6683 0.6661 0.0681
O 0.6686 0.1104 0.3669
O 0.8896 0.5582 0.3669
O 0.9978 0.3317 0.0681

Summary:
total moment	0.00	μB per cell
crystal system	trigonal
E_form (uncorrected)	-2.575	eV/atom

# 2
The following is a DFT calculation (PBE) of a geometry-optimized Zr3S5O structure.

abc: 6.9735 6.9735 8.3819
angles: 105.40 105.40 77.39
Fractional coordinates of all 18 atoms:
Zr 0.0000 0.0000 0.0000
Zr 0.0000 0.0000 0.5000
Zr 0.2785 0.2785 0.3845
Zr 0.3441 0.3441 0.8324
Zr 0.6559 0.6559 0.1676
Zr 0.7215 0.7215 0.6155
S 0.0068 0.6239 0.3664
S 0.2423 0.2423 0.0679
S 0.2931 0.7069 0.0000
S 0.3761 0.9932 0.6336
S 0.4800 0.4800 0.6531
S 0.5200 0.5200 0.3469
S 0.6239 0.0068 0.3664
S 0.7069 0.2931 0.0000
S 0.7577 0.7577 0.9321
S 0.9932 0.3761 0.6336
O 0.0694 0.0694 0.2831
O 0.9306 0.9306 0.7169

Summary:
total moment	0.00	μB per cell
crystal system	monoclinic
E_form (uncorrected)	-1.650	eV/atom

# 3
The following is a DFT calculation (PBE) of a geometry-optimized Zr2SO structure.

abc: 4.3609 4.3609 4.3609
angles: 60.00 60.00 60.00
Fractional coordinates of all 4 atoms:
Zr 0.2500 0.2500 0.2500
Zr 0.7500 0.7500 0.7500
S 0.0000 0.0000 0.0000
O 0.5000 0.5000 0.5000

Summary:
total moment	0.00	μB per cell
crystal system	cubic
energy above the most stable polymorph in this dataset	0.142	eV per atom
E_form (uncorrected)	-1.416	eV/atom

# 4
The following is a DFT calculation (PBE) of a geometry-optimized ZrS3O structure.

abc: 4.9833 4.9833 4.9833
angles: 90.00 90.00 90.00
Fractional coordinates of all 5 atoms:
Zr 0.0000 0.0000 0.0000
S 0.0000 0.0000 0.5000
S 0.0000 0.5000 0.0000
S 0.5000 0.0000 0.0000
O 0.5000 0.5000 0.5000

Summary:
total moment	3.85	μB per cell
crystal system	cubic
energy above the most stable polymorph in this dataset	0.195	eV per atom
E_form (uncorrected)	0.174	eV/atom

# 5
The following is a DFT calculation (PBE) of a geometry-optimized Zr4SO structure.

abc: 6.6741 6.6741 6.6741
angles: 105.67 105.67 117.38
Fractional coordinates of all 12 atoms:
Zr 0.1998 0.0000 0.1998
Zr 0.2193 0.4987 0.2794
Zr 0.2193 0.9398 0.7206
Zr 0.2487 0.4693 0.7794
Zr 0.6898 0.4693 0.2206
Zr 0.7500 0.0502 0.3002
Zr 0.7500 0.4498 0.6998
Zr 0.8002 0.0000 0.8002
S 0.4690 0.9690 0.5000
S 0.7190 0.7190 0.0000
O 0.2422 0.2422 0.0000
O 0.9922 0.4922 0.5000

Summary:
total moment	0.00	μB per cell
crystal system	tetragonal
E_form (uncorrected)	-1.285	eV/atom

# 6
The following is a DFT calculation (PBE) of a geometry-optimized ZrS3O12 structure.

abc: 10.1358 10.1358 5.1797
angles: 90.00 90.00 120.00
Fractional coordinates of all 32 atoms:
Zr 0.3333 0.6667 0.2500
Zr 0.6667 0.3333 0.7500
S 0.1088 0.7010 0.7500
S 0.2990 0.4078 0.7500
S 0.4078 0.1088 0.2500
S 0.5922 0.8912 0.7500
S 0.7010 0.5922 0.2500
S 0.8912 0.2990 0.2500
O 0.0575 0.3963 0.2500
O 0.1392 0.2908 0.7500
O 0.1515 0.8608 0.7500
O 0.1717 0.6624 0.5172
O 0.1717 0.6624 0.9828
O 0.2908 0.1515 0.2500
O 0.3376 0.5093 0.5172
O 0.3376 0.5093 0.9828
O 0.3388 0.9425 0.2500
O 0.3963 0.3388 0.7500
O 0.4907 0.8283 0.5172
O 0.4907 0.8283 0.9828
O 0.5093 0.1717 0.0172
O 0.5093 0.1717 0.4828
O 0.6037 0.6612 0.2500
O 0.6612 0.0575 0.7500
O 0.6624 0.4907 0.0172
O 0.6624 0.4907 0.4828
O 0.7092 0.8485 0.7500
O 0.8283 0.3376 0.0172
O 0.8283 0.3376 0.4828
O 0.8485 0.1392 0.2500
O 0.8608 0.7092 0.2500
O 0.9425 0.6037 0.7500

Summary:
total moment	4.11	μB per cell
crystal system	hexagonal
E_form (uncorrected)	-1.419	eV/atom

# 7
The following is a DFT calculation (PBE) of a geometry-optimized ZrS2O2 structure.

abc: 6.3693 6.3693 3.4266
angles: 90.00 90.00 90.00
Fractional coordinates of all 10 atoms:
Zr 0.0000 0.0000 0.0000
Zr 0.5000 0.5000 0.0000
S 0.1065 0.3935 0.0000
S 0.3935 0.8935 0.0000
S 0.6065 0.1065 0.0000
S 0.8935 0.6065 0.0000
O 0.2305 0.7305 0.5000
O 0.2695 0.2305 0.5000
O 0.7305 0.7695 0.5000
O 0.7695 0.2695 0.5000

Summary:
total moment	0.00	μB per cell
crystal system	tetragonal
energy above the most stable polymorph in this dataset	0.000	eV per atom
E_form (uncorrected)	-0.284	eV/atom

# 8
The following is a DFT calculation (PBE) of a geometry-optimized ZrS3O structure.

abc: 4.2360 4.2360 4.2360
angles: 90.00 90.00 90.00
Fractional coordinates of all 5 atoms:
Zr 0.0000 0.0000 0.0000
S 0.0000 0.5000 0.5000
S 0.5000 0.0000 0.5000
S 0.5000 0.5000 0.0000
O 0.5000 0.5000 0.5000

Summary:
total moment	0.00	μB per cell
crystal system	cubic
energy above the most stable polymorph in this dataset	0.000	eV per atom
E_form (uncorrected)	-0.022	eV/atom

Q: Which of these has the lowest E_form (uncorrected)?
A: Zr3SO9

Q: Which value of E_form (uncorrected) does entry 2 give?
A: -1.650 eV/atom

Q: The highest total moment belongs to which entry?
A: ZrS3O12

Q: Look up the E_form (uncorrected) of the sixth one.
A: -1.419 eV/atom